Entry 1:
Compound: MgVCu
Source: Alexandria via LeMat-Bulk
Functional: PBE
Structure: optimized geometry

## Properties
Size of the total moment, μB/cell: 3.592
Symmetry: No. 129
Distance to the lowest polymorph of the same formula, eV/atom: 0.365

Cell lengths 3.6967, 3.6967, 6.9382 Å; angles 90.00, 90.00, 90.00 degrees
With the nearest neighbours (Å) after each atom.
Positions (direct):
1 Mg 0.0000 0.0000 0.5000  4 Mg 2.61, 4 Cu 2.66
2 Mg 0.5000 0.5000 0.5000  4 Mg 2.61, 4 Cu 2.66
3 Cu 0.0000 0.5000 0.7757  5 V 2.44-2.70, 4 Mg 2.66
4 Cu 0.5000 0.0000 0.2243  5 V 2.44-2.70, 4 Mg 2.66
5 V 0.0000 0.5000 0.1275  5 Cu 2.44-2.70
6 V 0.5000 0.0000 0.8725  5 Cu 2.44-2.70

***

Entry 2:
Compound: Th2RhC
Source: Alexandria via LeMat-Bulk
Functional: PBE
Structure: optimized geometry

## Properties
Size of the total moment, μB/cell: 0.000
Symmetry: No. 13
Distance to the lowest polymorph of the same formula, eV/atom: 0.002

Cell lengths 5.5810, 5.8268, 10.8732 Å; angles 95.34, 90.00, 90.00 degrees
With the nearest neighbours (Å) after each atom.
Positions (direct):
1 Th 0.7473 0.9627 0.8964  2 C 2.47-2.58
2 Th 0.2527 0.0373 0.1036  2 C 2.47-2.58
3 Th 0.7473 0.5373 0.6036  2 C 2.47-2.58
4 Th 0.2527 0.4627 0.3964  2 C 2.47-2.58
5 Th 0.7717 0.4859 0.1465  2 C 2.45-2.57
6 Th 0.2283 0.5141 0.8535  2 C 2.45-2.57
7 Th 0.7717 0.0141 0.3535  2 C 2.45-2.57
8 Th 0.2283 0.9859 0.6465  2 C 2.45-2.57
9 Rh 0.2706 0.9502 0.3567  5 Th 2.81-2.98, 1 Rh 3.13
10 Rh 0.7294 0.0498 0.6433  5 Th 2.81-2.98, 1 Rh 3.13
11 Rh 0.2706 0.5498 0.1433  5 Th 2.81-2.98, 1 Rh 3.13
12 Rh 0.7294 0.4502 0.8567  5 Th 2.81-2.98, 1 Rh 3.13
13 C 0.2075 0.5646 0.6211  4 Th 2.45-2.58
14 C 0.7925 0.4354 0.3789  4 Th 2.45-2.58
15 C 0.2075 0.9354 0.8789  4 Th 2.45-2.58
16 C 0.7925 0.0646 0.1211  4 Th 2.45-2.58

***

Entry 3:
Compound: TbCd2Au
Source: Alexandria via LeMat-Bulk
Functional: PBE
Structure: optimized geometry

## Properties
Size of the total moment, μB/cell: 0.000
DFT total energy, eV/f.u.: -11.6
Symmetry: No. 139

Cell lengths 4.7005, 4.7005, 8.9956 Å; angles 105.15, 105.15, 90.00 degrees
With the nearest neighbours (Å) after each atom.
Positions (direct):
1 Tb 0.1410 0.1410 0.2820  4 Au 2.97, 8 Cd 3.33
2 Tb 0.8590 0.8590 0.7180  4 Au 2.97, 8 Cd 3.33
3 Cd 0.0000 0.5000 0.0000  8 Cd 3.19-3.32, 4 Tb 3.33
4 Cd 0.5000 0.0000 0.0000  8 Cd 3.19-3.32, 4 Tb 3.33
5 Cd 0.3713 0.3713 0.7426  4 Au 3.10, 4 Cd 3.19, 4 Tb 3.33
6 Cd 0.6287 0.6287 0.2574  4 Au 3.10, 4 Cd 3.19, 4 Tb 3.33
7 Au 0.2500 0.7500 0.5000  4 Tb 2.97, 4 Cd 3.10, 4 Au 3.32
8 Au 0.7500 0.2500 0.5000  4 Tb 2.97, 4 Cd 3.10, 4 Au 3.32

***

Entry 4:
Compound: ScTlZn2
Source: Alexandria via LeMat-Bulk
Functional: PBE
Structure: optimized geometry

## Properties
Size of the total moment, μB/cell: 0.450
Symmetry: No. 35
Distance to the lowest polymorph of the same formula, eV/atom: 0.094

Cell lengths 3.3157, 3.3157, 7.2168 Å; angles 90.00, 90.00, 90.46 degrees
With the nearest neighbours (Å) after each atom.
Positions (direct):
1 Sc 0.0000 0.0000 0.4649  5 Zn 2.92-3.03, 4 Tl 3.20-3.22
2 Tl 0.5000 0.5000 0.7688  5 Zn 3.07-3.27, 4 Sc 3.20-3.22, 4 Tl 3.32
3 Zn 0.0000 0.0000 0.0445  4 Zn 2.66-2.68
4 Zn 0.5000 0.5000 0.2219  4 Zn 2.66-2.68, 4 Sc 2.92-2.94